Entry 1:
Material: BaH6N2O2
Method: DFT, PBE-GGA
State: relaxed

Lattice parameters (Å, degrees): 4.153 4.153 7.757 91.93 91.89 61.42
Atoms (fractional coordinates):
N1 0.159 0.662 0.863
H1 0.023 0.931 0.824
H2 0.572 0.473 0.177
H3 0.984 0.481 0.168
H4 0.428 0.527 0.823
O1 0.831 0.332 0.661
N2 0.841 0.338 0.137
O2 0.169 0.668 0.339
H5 0.016 0.519 0.832
Ba1 0.500 0.000 0.500
H6 0.977 0.069 0.176

## Properties
total moment: 2.00 μB per formula unit
E: -54.5 eV for the cell shown
symmetry: P-1
DOS(E_F): 0.368 states/eV/atom

***

Entry 2:
Material: Nd7Hg2Os2
Method: DFT, PBE-GGA
State: relaxed

Lattice parameters (Å, degrees): 6.981 7.321 6.981 90.00 107.15 90.00
Atoms (fractional coordinates):
Nd1 0.500 0.251 0.000
Hg1 0.178 0.500 0.178
Nd2 0.500 0.749 0.000
Nd3 0.500 0.759 0.500
Os1 0.293 0.000 0.707
Os2 0.707 0.000 0.293
Nd4 0.000 0.251 0.500
Hg2 0.822 0.500 0.822
Nd5 0.000 0.749 0.500
Nd6 0.000 0.000 0.000
Nd7 0.500 0.241 0.500

## Properties
total moment: 0.00 μB per formula unit
symmetry: Cmmm
DOS(E_F): 1.075 states/eV/atom
energy of formation from the pure elements: -143.9 meV/atom

***

Entry 3:
Material: Al4ReCl
Method: DFT, PBE-GGA
State: relaxed

Lattice parameters (Å, degrees): 5.200 5.200 5.200 60.00 60.00 60.00
Atoms (fractional coordinates):
Al1 0.876 0.375 0.375
Re1 0.000 0.000 0.000
Al2 0.375 0.375 0.375
Al3 0.375 0.375 0.876
Al4 0.375 0.876 0.375
Cl1 0.750 0.750 0.750

## Properties
total moment: 1.10 μB per formula unit
symmetry: F-43m
DOS(E_F): 0.460 states/eV/atom
formation energy (no corrections): 10.3 kcal/mol of atoms

***

Entry 4:
Material: Ba2Re
Method: DFT, PBE-GGA
State: relaxed

Lattice parameters (Å, degrees): 16.494 16.494 16.494 167.14 167.14 18.22
Atoms (fractional coordinates):
Ba1 0.310 0.810 0.500
Ba2 0.560 0.560 0.000
Re1 0.000 0.000 0.000
Re2 0.750 0.250 0.500
Ba3 0.440 0.440 0.000
Ba4 0.190 0.690 0.500

## Properties
total moment: 0.58 μB per formula unit
symmetry: I4_1/amd
excess energy over the best structure of this formula in the dataset: 653.0 meV per atom
DOS(E_F): 1.383 states/eV/atom
energy of formation from the pure elements: 1094.6 meV/atom

***

Entry 5:
Material: CoHgW3
Method: DFT, PBE-GGA
State: relaxed

Lattice parameters (Å, degrees): 4.885 4.885 4.885 90.00 90.00 90.00
Atoms (fractional coordinates):
W1 0.000 0.500 0.000
Co1 0.500 0.500 0.500
Hg1 0.000 0.000 0.000
W2 0.000 0.000 0.500
W3 0.500 0.000 0.000

## Properties
total moment: 1.60 μB per formula unit
symmetry: Pm-3m
excess energy over the best structure of this formula in the dataset: 2034.2 meV per atom
DOS(E_F): 1.485 states/eV/atom
energy of formation from the pure elements: 3431.0 meV/atom

***

Entry 6:
Material: PdS2ClF
Method: DFT, PBE-GGA
State: relaxed

Lattice parameters (Å, degrees): 4.739 4.739 4.834 90.00 90.00 90.00
Atoms (fractional coordinates):
Pd1 0.000 0.000 0.000
Cl1 0.000 0.000 0.500
S1 0.500 0.000 0.000
F1 0.500 0.500 0.500
S2 0.000 0.500 0.000

## Properties
total moment: 3.39 μB per formula unit
symmetry: P4/mmm
excess energy over the best structure of this formula in the dataset: 0.0 meV per atom
DOS(E_F): 0.932 states/eV/atom
formation energy (no corrections): 9.2 kcal/mol of atoms

***

Entry 7:
Material: Cs2TaPbCl6
Method: DFT, PBE-GGA
State: relaxed

Lattice parameters (Å, degrees): 7.719 7.719 7.718 59.99 59.99 90.00
Atoms (fractional coordinates):
Cs1 0.750 0.250 0.500
Pb1 0.000 0.000 0.000
Cl1 0.732 0.268 0.000
Cl2 0.732 0.732 0.000
Cs2 0.250 0.750 0.500
Cl3 0.268 0.732 0.000
Ta1 0.500 0.500 0.000
Cl4 0.268 0.268 0.000
Cl5 0.732 0.732 0.536
Cl6 0.268 0.268 0.464

## Properties
total moment: 3.00 μB per formula unit
symmetry: Fm-3m
DOS(E_F): 0.169 states/eV/atom
formation energy (no corrections): -29.3 kcal/mol of atoms

***

Entry 8:
Material: Al5Ga
Method: DFT, PBE-GGA
State: relaxed

Lattice parameters (Å, degrees): 2.866 2.866 14.147 90.00 90.00 120.00
Atoms (fractional coordinates):
Al1 0.333 0.667 0.170
Al2 0.667 0.333 0.335
Ga1 0.000 0.000 0.000
Al3 0.667 0.333 0.830
Al4 0.333 0.667 0.665
Al5 0.000 0.000 0.500

## Properties
total moment: 0.00 μB per formula unit
symmetry: P-3m1
excess energy over the best structure of this formula in the dataset: 5.2 meV per atom
DOS(E_F): 0.403 states/eV/atom
energy of formation from the pure elements: 12.9 meV/atom